1.
CeDyHo4S8 | PBE | relaxed

Values from the calculation:
The value obtained for the formation energy (no corrections) is -1.913 eV per atom. As for the symmetry: R3m, No. 160.

a b c (Å): 8.076 8.076 8.084
angles (deg): 60.03 60.03 60.00
Positions (direct):
Ce (0.375, 0.375, 0.876)
Dy (0.000, 0.000, 0.000)
Ho (0.625, 0.625, 0.125)
Ho (0.000, 0.500, 0.500)
Ho (0.500, 0.000, 0.500)
Ho (0.000, 0.000, 0.500)
S (0.239, 0.786, 0.737)
S (0.786, 0.239, 0.737)
S (0.239, 0.239, 0.737)
S (0.238, 0.238, 0.287)
S (0.756, 0.229, 0.258)
S (0.229, 0.756, 0.258)
S (0.756, 0.756, 0.258)
S (0.757, 0.757, 0.728)

***

2.
Ce3DyHo2S6 | PBE | relaxed

Values from the calculation:
The value obtained for the formation energy (no corrections) is -2.026 eV per atom. As for the symmetry: C2/m, No. 12.

a b c (Å): 6.818 6.818 6.929
angles (deg): 99.45 99.45 120.04
Positions (direct):
Ce (0.166, 0.834, 0.500)
Ce (0.834, 0.166, 0.500)
Ce (0.500, 0.500, 0.500)
Dy (0.000, 0.000, 0.000)
Ho (0.333, 0.667, 0.000)
Ho (0.667, 0.333, 0.000)
S (0.921, 0.587, 0.763)
S (0.744, 0.744, 0.236)
S (0.079, 0.413, 0.237)
S (0.587, 0.921, 0.763)
S (0.256, 0.256, 0.764)
S (0.413, 0.079, 0.237)

***

3.
Ce3Dy2HoS6 | PBE | relaxed

Values from the calculation:
The value obtained for the formation energy (no corrections) is -2.028 eV per atom. As for the symmetry: C2/m, No. 12.

a b c (Å): 6.828 6.828 6.929
angles (deg): 99.46 99.46 120.04
Positions (direct):
Ce (0.167, 0.833, 0.500)
Ce (0.833, 0.167, 0.500)
Ce (0.500, 0.500, 0.500)
Dy (0.333, 0.667, 0.000)
Dy (0.667, 0.333, 0.000)
Ho (0.000, 0.000, 0.000)
S (0.921, 0.589, 0.763)
S (0.747, 0.747, 0.238)
S (0.079, 0.411, 0.237)
S (0.589, 0.921, 0.763)
S (0.253, 0.253, 0.762)
S (0.411, 0.079, 0.237)

***

4.
CeDy2HoS4 | PBE | relaxed

Values from the calculation:
The value obtained for the formation energy (no corrections) is -2.005 eV per atom. As for the symmetry: P2/m, No. 10.

a b c (Å): 3.912 6.821 6.810
angles (deg): 109.27 90.00 90.00
Positions (direct):
Ce (0.500, 0.500, 0.000)
Dy (0.500, 0.000, 0.500)
Dy (0.000, 0.500, 0.500)
Ho (0.000, 0.000, 0.000)
S (0.500, 0.245, 0.252)
S (0.500, 0.755, 0.748)
S (0.000, 0.242, 0.743)
S (0.000, 0.758, 0.257)

***

5.
CeDy2HoSb4 | PBE | relaxed

Values from the calculation:
The value obtained for the formation energy (no corrections) is -1.104 eV per atom. As for the symmetry: P2/m, No. 10.

a b c (Å): 4.407 7.633 7.631
angles (deg): 70.60 90.00 90.00
Positions (direct):
Ce (0.500, 0.500, 0.000)
Dy (0.000, 0.000, 0.000)
Dy (0.500, 0.000, 0.500)
Ho (0.000, 0.500, 0.500)
Sb (0.000, 0.754, 0.746)
Sb (0.000, 0.246, 0.254)
Sb (0.500, 0.751, 0.252)
Sb (0.500, 0.249, 0.748)

***

6.
Ce2Dy3HoSb6 | PBE | relaxed

Values from the calculation:
The value obtained for the formation energy (no corrections) is -1.099 eV per atom. As for the symmetry: C2/m, No. 12.

a b c (Å): 4.421 8.842 9.878
angles (deg): 103.00 102.93 90.00
Positions (direct):
Ce (0.834, 0.668, 0.669)
Ce (0.166, 0.332, 0.331)
Dy (0.500, 0.500, 0.000)
Dy (0.833, 0.166, 0.666)
Dy (0.167, 0.834, 0.334)
Ho (0.500, 0.000, 0.000)
Sb (0.334, 0.921, 0.668)
Sb (0.666, 0.587, 0.331)
Sb (0.666, 0.079, 0.332)
Sb (0.998, 0.248, 0.996)
Sb (0.002, 0.752, 0.004)
Sb (0.334, 0.413, 0.669)

***

7.
Ce3Dy2HoSb6 | PBE | relaxed

Values from the calculation:
The value obtained for the formation energy (no corrections) is -1.086 eV per atom. As for the symmetry: C2/m, No. 12.

a b c (Å): 7.692 7.692 7.685
angles (deg): 99.61 99.61 119.99
Positions (direct):
Ce (0.167, 0.833, 0.500)
Ce (0.833, 0.167, 0.500)
Ce (0.500, 0.500, 0.500)
Dy (0.333, 0.667, 0.000)
Dy (0.667, 0.333, 0.000)
Ho (0.000, 0.000, 0.000)
Sb (0.919, 0.586, 0.757)
Sb (0.748, 0.748, 0.243)
Sb (0.081, 0.414, 0.243)
Sb (0.586, 0.919, 0.757)
Sb (0.252, 0.252, 0.757)
Sb (0.414, 0.081, 0.243)

***

8.
CeDy2Ho4Sc | PBE | relaxed

Values from the calculation:
As for the symmetry: P4/mmm, No. 123. The formation energy from the elements is 5.00 kJ/mol of atoms.

a b c (Å): 4.942 11.046 4.940
angles (deg): 63.42 90.00 90.00
Positions (direct):
Ce (0.000, 0.500, 0.500)
Dy (0.000, 0.000, 0.000)
Dy (0.500, 0.000, 0.500)
Ho (0.000, 0.744, 0.755)
Ho (0.000, 0.256, 0.245)
Ho (0.500, 0.744, 0.255)
Ho (0.500, 0.256, 0.745)
Sc (0.500, 0.500, 0.000)

***

9.
CeDyHoSc | PBE | relaxed

Values from the calculation:
As for the symmetry: F-43m, No. 216. The formation energy from the elements is 14.45 kJ/mol of atoms.

a b c (Å): 5.515 5.515 5.515
angles (deg): 60.00 60.00 60.00
Positions (direct):
Sc (0.000, 0.000, 0.000)
Ho (0.250, 0.250, 0.250)
Ce (0.750, 0.750, 0.750)
Dy (0.500, 0.500, 0.500)

***

10.
Ce2Dy3Ho6Sc | PBE | relaxed

Values from the calculation:
As for the symmetry: C2/m, No. 12. The formation energy from the elements is 4.89 kJ/mol of atoms.

a b c (Å): 6.063 6.063 11.612
angles (deg): 94.99 94.99 120.00
Positions (direct):
Ce (0.334, 0.666, 0.000)
Ce (0.666, 0.334, 0.000)
Dy (0.166, 0.834, 0.500)
Dy (0.834, 0.166, 0.500)
Dy (0.500, 0.500, 0.500)
Ho (0.918, 0.585, 0.753)
Ho (0.750, 0.750, 0.247)
Ho (0.082, 0.415, 0.247)
Ho (0.585, 0.918, 0.753)
Ho (0.250, 0.250, 0.753)
Ho (0.415, 0.082, 0.247)
Sc (0.000, 0.000, 0.000)

***

11.
Ce2Dy6Ho3Sc | PBE | relaxed

Values from the calculation:
As for the symmetry: C2/m, No. 12. The formation energy from the elements is 5.05 kJ/mol of atoms.

a b c (Å): 6.071 6.071 11.635
angles (deg): 94.99 94.99 120.00
Positions (direct):
Ce (0.334, 0.666, 0.000)
Ce (0.666, 0.334, 0.000)
Dy (0.918, 0.585, 0.753)
Dy (0.750, 0.750, 0.248)
Dy (0.082, 0.415, 0.247)
Dy (0.585, 0.918, 0.753)
Dy (0.250, 0.250, 0.752)
Dy (0.415, 0.082, 0.247)
Ho (0.166, 0.834, 0.500)
Ho (0.834, 0.166, 0.500)
Ho (0.500, 0.500, 0.500)
Sc (0.000, 0.000, 0.000)

***

12.
CeDyHo2Sc4 | PBE | relaxed

Values from the calculation:
As for the symmetry: P2/m, No. 10. The formation energy from the elements is 6.25 kJ/mol of atoms.

a b c (Å): 3.400 5.890 11.101
angles (deg): 79.72 90.00 90.00
Positions (direct):
Ce (0.000, 0.500, 0.500)
Dy (0.500, 0.500, 0.000)
Ho (0.000, 0.000, 0.000)
Ho (0.500, 0.000, 0.500)
Sc (0.000, 0.747, 0.749)
Sc (0.000, 0.253, 0.251)
Sc (0.500, 0.744, 0.253)
Sc (0.500, 0.256, 0.747)

***

no.,ρ (g/cm3),calculated volume (Å³/cell)
1,5.43,373
2,6.97,263
3,6.93,264
4,7.34,172
5,7.66,242
6,7.54,366
7,7.34,371
8,8.05,241
9,7.18,119
10,8.22,364
11,8.15,366
12,6.17,219